[1]
Computed, not measured: an optimized crystal structure of NbFeTcHg at the GGA-PBE level of DFT.

Cell and atoms, written as POSCAR:
```
NbFeTcHg
1.0
-8.450 2.464 1.195
0.245 -0.687 3.150
1.489 4.310 0.824
Fe Tc Nb Hg
2 2 2 2
direct
0.982 0.500 0.596
0.982 0.000 0.096
0.515 0.500 0.570
0.515 0.000 0.070
0.752 0.000 0.582
0.752 0.500 0.082
0.237 0.000 0.701
0.237 0.500 0.201
```

Computed properties:
As for the energy above the most stable polymorph in this dataset: 83 meV/atom. The symmetry is No. 8. The calculation puts the energy at -7.030 eV per atom. The density of states at the Fermi level is 0.7677 states/eV per atom. For the mass density, the calculation gives 11.2 g/cm3.



[2]
Computed, not measured: an optimized crystal structure of NbFeTcHg at the GGA-PBE level of DFT.

Cell and atoms, written as POSCAR:
```
NbFeTcHg
1.0
3.655 0.000 0.000
0.000 4.297 0.000
0.000 0.000 4.071
Tc Nb Fe Hg
1 1 1 1
direct
0.500 0.500 0.500
0.000 0.500 0.000
0.500 0.000 0.000
0.000 0.000 0.500
```

Computed properties:
As for the energy above the most stable polymorph in this dataset: 46 meV/atom. The symmetry is No. 47. The calculation puts the energy at -7.067 eV per atom. The density of states at the Fermi level is 0.5859 states/eV per atom. For the mass density, the calculation gives 11.6 g/cm3.



[3]
Computed, not measured: an optimized crystal structure of NbZnFeHg2 at the GGA-PBE level of DFT.

Cell and atoms, written as POSCAR:
```
NbZnFeHg2
1.0
-4.231 -2.199 0.378
1.694 -2.704 3.233
-1.341 3.153 3.338
Fe Hg Nb Zn
1 2 1 1
direct
0.000 0.500 0.000
0.000 0.000 0.500
0.500 0.000 0.000
0.500 0.500 0.500
0.000 0.000 0.000
```

Computed properties:
The symmetry is No. 123. The calculation puts the energy at -2.993 eV per atom. The density of states at the Fermi level is 0.6077 states/eV per atom. For the mass density, the calculation gives 9.8 g/cm3.



[4]
Computed, not measured: an optimized crystal structure of ZrNbFe2Hg at the GGA-PBE level of DFT.

Cell and atoms, written as POSCAR:
```
ZrNbFe2Hg
1.0
4.391 0.000 0.000
0.000 5.251 0.000
0.000 0.000 4.391
Hg Zr Nb Fe
1 1 1 2
direct
0.000 0.500 0.000
0.000 0.000 0.000
0.500 0.500 0.500
0.000 0.000 0.500
0.500 0.000 0.000
```

Computed properties:
The symmetry is No. 123. The calculation puts the energy at -5.648 eV per atom. The density of states at the Fermi level is 1.0807 states/eV per atom. For the mass density, the calculation gives 8.1 g/cm3.



[5]
Computed, not measured: an optimized crystal structure of Nd6Fe2Hg at the GGA-PBE level of DFT.

Cell and atoms, written as POSCAR:
```
Nd6Fe2Hg
1.0
8.206 0.043 -2.856
-4.376 7.057 -2.558
0.039 -0.043 8.688
Nd Fe Hg
12 4 2
direct
0.894 0.708 0.186
0.522 0.708 0.814
0.706 0.021 0.314
0.294 0.608 0.314
0.786 0.221 0.007
0.214 0.779 0.993
0.214 0.221 0.435
0.706 0.392 0.686
0.786 0.779 0.565
0.478 0.292 0.186
0.294 0.979 0.686
0.106 0.292 0.814
0.500 0.607 0.107
0.500 0.393 0.893
0.390 0.000 0.390
0.610 0.000 0.610
0.000 0.000 0.000
0.000 0.500 0.500
```

Computed properties:
The symmetry is No. 71. The calculation puts the energy at -5.153 eV per atom. The density of states at the Fermi level is 1.0930 states/eV per atom. For the mass density, the calculation gives 7.8 g/cm3.



[6]
Computed, not measured: an optimized crystal structure of Nd4FeHg at the GGA-PBE level of DFT.

Cell and atoms, written as POSCAR:
```
Nd4FeHg
1.0
-3.573 1.287 5.038
0.581 -7.723 0.799
6.613 3.459 2.221
Hg Fe Nd
2 2 8
direct
0.750 0.624 0.376
0.250 0.376 0.624
0.250 0.000 0.000
0.750 0.000 0.000
0.460 0.732 0.056
0.540 0.268 0.944
0.597 0.203 0.374
0.403 0.797 0.626
0.903 0.626 0.797
0.040 0.944 0.268
0.097 0.374 0.203
0.960 0.056 0.732
```

Computed properties:
The symmetry is No. 15. The calculation puts the energy at -4.749 eV per atom. The density of states at the Fermi level is 1.1798 states/eV per atom. For the mass density, the calculation gives 8.1 g/cm3.



Question: Number 1 is which compound?
Answer: NbFeTcHg



Question: Which of these has the lowest energy?
Answer: number 2



Question: Which of these has the lowest mass density?
Answer: Nd6Fe2Hg